Entry from Alexandria: Tb2Sm4Se9 after structural relaxation (PBE).

a = 7.3313 Å, b = 7.3351 Å, c = 19.6956 Å
α = 90.01°, β = 90.04°, γ = 60.06°
Last column: nearest neighbours and their distance in Å.
Fractional positions:
Tb (0.9987, 0.0020, 0.3479)  6 Se 2.86-2.93
Tb (0.9999, 0.9985, 0.1517)  6 Se 2.86-2.93
Tb (0.0013, 0.9980, 0.6521)  6 Se 2.86-2.93
Tb (0.0001, 0.0015, 0.8483)  6 Se 2.86-2.93
Sm (0.3328, 0.3336, 0.9822)  6 Se 2.90-2.98
Sm (0.3341, 0.3332, 0.4828)  6 Se 2.90-2.99
Sm (0.6672, 0.6664, 0.0178)  6 Se 2.90-2.98
Sm (0.3323, 0.3337, 0.1827)  6 Se 2.90-2.97
Sm (0.6659, 0.6668, 0.5172)  6 Se 2.90-2.99
Sm (0.6656, 0.6669, 0.3177)  6 Se 2.90-2.97
Sm (0.3344, 0.3331, 0.6823)  6 Se 2.90-2.97
Sm (0.6677, 0.6663, 0.8173)  6 Se 2.90-2.97
Se (0.0013, 0.2991, 0.7499)  2 Sm 2.90, 2 Tb 2.92-2.93
Se (0.2992, 0.7002, 0.7504)  2 Sm 2.90, 2 Tb 2.92-2.93
Se (0.7011, 0.0005, 0.7501)  2 Sm 2.90, 2 Tb 2.92
Se (0.9987, 0.7009, 0.2501)  2 Sm 2.90, 2 Tb 2.92-2.93
Se (0.7008, 0.2998, 0.2496)  2 Sm 2.90, 2 Tb 2.92-2.93
Se (0.2989, 0.9995, 0.2499)  2 Sm 2.90, 2 Tb 2.92
Se (0.6736, 0.9680, 0.4169)  1 Tb 2.86, 3 Sm 2.90-2.99
Se (0.9668, 0.3593, 0.4173)  1 Tb 2.86, 3 Sm 2.90-2.98
Se (0.3573, 0.6749, 0.4168)  1 Tb 2.87, 3 Sm 2.90-2.98
Se (0.6399, 0.0343, 0.0829)  1 Tb 2.86, 3 Sm 2.90-2.98
Se (0.3257, 0.6402, 0.0830)  1 Tb 2.86, 3 Sm 2.90-2.98
Se (0.0340, 0.3236, 0.0827)  1 Tb 2.86, 3 Sm 2.90-2.98
Se (0.3264, 0.0320, 0.5831)  1 Tb 2.86, 3 Sm 2.90-2.99
Se (0.0332, 0.6407, 0.5827)  1 Tb 2.86, 3 Sm 2.90-2.98
Se (0.6427, 0.3251, 0.5832)  1 Tb 2.87, 3 Sm 2.90-2.98
Se (0.3601, 0.9657, 0.9171)  1 Tb 2.86, 3 Sm 2.90-2.98
Se (0.6743, 0.3598, 0.9170)  1 Tb 2.86, 3 Sm 2.90-2.98
Se (0.9660, 0.6764, 0.9173)  1 Tb 2.86, 3 Sm 2.90-2.98

Formation energy (no corrections) ... -1.86 eV per atom
Spin magnetization ... 0.00 μB per cell

Entry from Alexandria: Tb3SmSe6 after structural relaxation (PBE).

a = 8.4739 Å, b = 8.4739 Å, c = 8.4739 Å
α = 90.89°, β = 90.89°, γ = 90.89°
Last column: nearest neighbours and their distance in Å.
Fractional positions:
Tb (0.4313, 0.9217, 0.7547)  6 Se 2.85-2.98
Tb (0.9217, 0.7547, 0.4313)  6 Se 2.85-2.98
Tb (0.2453, 0.5687, 0.0783)  6 Se 2.85-2.98
Tb (0.7547, 0.4313, 0.9217)  6 Se 2.85-2.98
Tb (0.0783, 0.2453, 0.5687)  6 Se 2.85-2.98
Tb (0.5687, 0.0783, 0.2453)  6 Se 2.85-2.98
Sm (0.0000, 0.0000, 0.0000)  6 Se 2.91
Sm (0.5000, 0.5000, 0.5000)  6 Se 2.87
Se (0.3186, 0.9069, 0.0849)  3 Tb 2.86-2.98, 1 Sm 2.91
Se (0.0931, 0.9151, 0.6814)  3 Tb 2.86-2.98, 1 Sm 2.91
Se (0.5955, 0.8234, 0.4649)  3 Tb 2.85-2.96, 1 Sm 2.87
Se (0.9151, 0.6814, 0.0931)  3 Tb 2.86-2.98, 1 Sm 2.91
Se (0.4649, 0.5955, 0.8234)  3 Tb 2.85-2.96, 1 Sm 2.87
Se (0.1766, 0.5351, 0.4045)  3 Tb 2.85-2.96, 1 Sm 2.87
Se (0.8234, 0.4649, 0.5955)  3 Tb 2.85-2.96, 1 Sm 2.87
Se (0.5351, 0.4045, 0.1766)  3 Tb 2.85-2.96, 1 Sm 2.87
Se (0.0849, 0.3186, 0.9069)  3 Tb 2.86-2.98, 1 Sm 2.91
Se (0.4045, 0.1766, 0.5351)  3 Tb 2.85-2.96, 1 Sm 2.87
Se (0.9069, 0.0849, 0.3186)  3 Tb 2.86-2.98, 1 Sm 2.91
Se (0.6814, 0.0931, 0.9151)  3 Tb 2.86-2.98, 1 Sm 2.91

Formation energy (no corrections) ... -1.84 eV per atom
Spin magnetization ... 0.00 μB per cell
Energy above the most stable polymorph in this dataset ... 0.046 eV/atom

Entry from Alexandria: Tb5Sm3Se8 after structural relaxation (PBE).

a = 8.2431 Å, b = 8.2431 Å, c = 8.2604 Å
α = 60.07°, β = 60.07°, γ = 60.00°
Last column: nearest neighbours and their distance in Å.
Fractional positions:
Tb (0.5000, 0.0000, 0.0000)  6 Se 2.89
Tb (0.5000, 0.5000, 0.0000)  6 Se 2.89
Tb (0.0000, 0.0000, 0.0000)  6 Se 2.92
Tb (0.0000, 0.5000, 0.0000)  6 Se 2.89
Tb (0.5000, 0.5000, 0.5000)  6 Se 2.92
Sm (0.5000, 0.0000, 0.5000)  6 Se 2.95
Sm (0.0000, 0.0000, 0.5000)  6 Se 2.95
Sm (0.0000, 0.5000, 0.5000)  6 Se 2.95
Se (0.2500, 0.2500, 0.7550)  4 Tb 2.89-2.92, 2 Sm 2.95
Se (0.2500, 0.7450, 0.7550)  4 Tb 2.89-2.92, 2 Sm 2.95
Se (0.7450, 0.2500, 0.7550)  4 Tb 2.89-2.92, 2 Sm 2.95
Se (0.7475, 0.7475, 0.7576)  3 Tb 2.89, 3 Sm 2.95
Se (0.7500, 0.7500, 0.2450)  4 Tb 2.89-2.92, 2 Sm 2.95
Se (0.7500, 0.2550, 0.2450)  4 Tb 2.89-2.92, 2 Sm 2.95
Se (0.2550, 0.7500, 0.2450)  4 Tb 2.89-2.92, 2 Sm 2.95
Se (0.2525, 0.2525, 0.2424)  3 Tb 2.89, 3 Sm 2.95

Formation energy (no corrections) ... -1.78 eV per atom
Spin magnetization ... 0.00 μB per cell